1.
Below is a relaxed Zr5Mn crystal, with properties calculated at the PBEsol level.

Values from the calculation:
D(E_F): 8.44 states/eV per cell
Energy of formation: 0.017 eV/atom

Unit cell a=3.179 b=3.179 c=11.741 alpha=90.00 beta=90.00 gamma=90.00
Fractional coordinates of all 6 atoms:
Zr  0.000  0.000  0.000
Zr  0.500  0.500  0.186
Zr  0.000  0.000  0.370
Zr  0.500  0.500  0.814
Mn  0.500  0.500  0.500
Zr  0.000  0.000  0.630

2.
Below is a relaxed Zr5Mn crystal, with properties calculated at the PBEsol level.

Values from the calculation:
D(E_F): 6.69 states/eV per cell
Energy of formation: 0.016 eV/atom

Unit cell a=3.242 b=5.606 c=7.268 alpha=108.36 beta=90.00 gamma=106.80
Fractional coordinates of all 6 atoms:
Zr  0.330  0.659  0.690
Zr  0.670  0.341  0.310
Zr  0.000  0.000  0.500
Zr  0.638  0.275  0.864
Mn  0.000  0.000  0.000
Zr  0.362  0.725  0.136

3.
Below is a relaxed ZrMn crystal, with properties calculated at the PBEsol level.

Values from the calculation:
D(E_F): 2.58 states/eV per cell
Energy of formation: 0.620 eV/atom

Unit cell a=3.689 b=3.689 c=3.689 alpha=60.00 beta=60.00 gamma=60.00
Fractional coordinates of all 2 atoms:
Zr  0.500  0.500  0.500
Mn  0.000  0.000  0.000

Question: The lowest energy of formation belongs to which entry?
Answer: number 2